No. 1
First-principles (PBE) data for a relaxed GdThTcPt crystal, as listed in Alexandria.

Summary:
**Crystal system**: cubic
**N(E_F)**: 2.85 states/eV/f.u.
**Energy of formation**: -0.53 eV per atom
**Total DFT energy (no corrections)**: -10.00 eV/atom
**M_tot**: 27.5 Bohr magnetons per cell

a = 7.0849 Å, b = 7.0849 Å, c = 7.0849 Å
α = 90.00°, β = 90.00°, γ = 90.00°
Last column: nearest neighbours and their distance in Å.
Space group F-43m (No. 216)
One atom of each set of equivalent atoms:
Gd  0.0000  0.0000  0.0000 x4  4 Tc 3.07, 4 Pt 3.07
Th  0.0000  0.0000  0.5000 x4  4 Tc 3.07, 4 Pt 3.07
Tc  0.2500  0.2500  0.7500 x4  4 Gd 3.07, 4 Th 3.07
Pt  0.2500  0.2500  0.2500 x4  4 Th 3.07, 4 Gd 3.07

No. 2
First-principles (PBE) data for a relaxed GdTePt4 crystal, as listed in Alexandria.

Summary:
**Crystal system**: cubic
**N(E_F)**: 5.65 states/eV/f.u.
**Formation energy (no corrections)**: -0.60 eV per atom
**Total DFT energy (no corrections)**: -7.49 eV/atom
**M_tot**: 27.5 Bohr magnetons per cell

a = 7.7138 Å, b = 7.7138 Å, c = 7.7138 Å
α = 90.00°, β = 90.00°, γ = 90.00°
Last column: nearest neighbours and their distance in Å.
Space group F-43m (No. 216)
One atom of each set of equivalent atoms:
Gd  0.0000  0.0000  0.0000 x4  12 Pt 3.20, 4 Te 3.34
Te  0.2500  0.2500  0.7500 x4  12 Pt 3.20, 4 Gd 3.34
Pt  0.1252  0.1252  0.3748 x16  6 Pt 2.72-2.73

No. 3
First-principles (PBE) data for a relaxed GdThPt2 crystal, as listed in Alexandria.

Summary:
**Crystal system**: cubic
**Energy above the lowest structure with this stoichiometry**: 0.113 eV/atom
**N(E_F)**: 2.91 states/eV/f.u.
**Energy of formation**: -1.09 eV per atom
**Total DFT energy (no corrections)**: -9.49 eV/atom
**M_tot**: 28.9 Bohr magnetons per cell

a = 7.1695 Å, b = 7.1695 Å, c = 7.1695 Å
α = 90.00°, β = 90.00°, γ = 90.00°
Last column: nearest neighbours and their distance in Å.
Space group Fm-3m (No. 225)
One atom of each set of equivalent atoms:
Gd  0.0000  0.0000  0.0000 x4  8 Pt 3.10
Th  0.0000  0.0000  0.5000 x4  8 Pt 3.10
Pt  0.2500  0.2500  0.2500 x8  4 Gd 3.10, 4 Th 3.10

No. 4
First-principles (PBE) data for a relaxed GdThPt4 crystal, as listed in Alexandria.

Summary:
**Crystal system**: cubic
**N(E_F)**: 5.14 states/eV/f.u.
**Energy of formation**: -1.08 eV per atom
**Total DFT energy (no corrections)**: -8.69 eV/atom
**M_tot**: 28.6 Bohr magnetons per cell

a = 7.7762 Å, b = 7.7762 Å, c = 7.7762 Å
α = 90.00°, β = 90.00°, γ = 90.00°
Last column: nearest neighbours and their distance in Å.
Space group F-43m (No. 216)
One atom of each set of equivalent atoms:
Gd  0.0000  0.0000  0.0000 x4  12 Pt 3.22, 4 Th 3.37
Th  0.2500  0.2500  0.7500 x4  12 Pt 3.22, 4 Gd 3.37
Pt  0.1254  0.1254  0.3746 x16  6 Pt 2.74-2.76

No. 5
First-principles (PBE) data for a relaxed GdThPt2 crystal, as listed in Alexandria.

Summary:
**Crystal system**: trigonal
**Energy above the lowest structure with this stoichiometry**: 0.000 eV/atom
**N(E_F)**: 1.78 states/eV/f.u.
**Energy of formation**: -1.20 eV per atom
**Total DFT energy (no corrections)**: -9.60 eV/atom
**M_tot**: 21.1 Bohr magnetons per cell

a = 4.1486 Å, b = 4.1486 Å, c = 20.4438 Å
α = 90.00°, β = 90.00°, γ = 120.00°
Last column: nearest neighbours and their distance in Å.
Space group R-3m (No. 166, hexagonal axes)
One atom of each set of equivalent atoms:
Gd  0.0000  0.0000  0.0000 x3  6 Pt 2.95
Th  0.0000  0.0000  0.5000 x3  6 Pt 2.93
Pt  0.0000  0.0000  0.2492 x6  3 Th 2.93, 3 Gd 2.95

No. 6
First-principles (PBE) data for a relaxed GdThPt crystal, as listed in Alexandria.

Summary:
**Crystal system**: trigonal
**Energy above the lowest structure with this stoichiometry**: 0.090 eV/atom
**N(E_F)**: 2.05 states/eV/f.u.
**Energy of formation**: -0.56 eV per atom
**Total DFT energy (no corrections)**: -9.74 eV/atom
**M_tot**: 7.0 Bohr magnetons per cell

a = 4.7732 Å, b = 4.7732 Å, c = 3.9796 Å
α = 90.00°, β = 90.00°, γ = 120.00°
Last column: nearest neighbours and their distance in Å.
Space group P3m1 (No. 156)
One atom of each set of equivalent atoms:
Gd  0.0000  0.0000  0.0000 x1  3 Pt 2.97, 3 Th 3.26
Th  0.6667  0.3333  0.4390 x1  3 Pt 2.98, 3 Gd 3.26
Pt  0.3333  0.6667  0.7237 x1  3 Gd 2.97, 3 Th 2.98

No. 7
First-principles (PBE) data for a relaxed GdThPt2 crystal, as listed in Alexandria.

Summary:
**Crystal system**: tetragonal
**Energy above the lowest structure with this stoichiometry**: 0.111 eV/atom
**N(E_F)**: 3.25 states/eV/f.u.
**Energy of formation**: -1.09 eV per atom
**Total DFT energy (no corrections)**: -9.49 eV/atom
**M_tot**: 7.2 Bohr magnetons per cell

a = 5.0673 Å, b = 5.0673 Å, c = 3.5825 Å
α = 90.00°, β = 90.00°, γ = 90.00°
Last column: nearest neighbours and their distance in Å.
Space group P4/mmm (No. 123)
One atom of each set of equivalent atoms:
Gd  0.0000  0.0000  0.0000 x1  8 Pt 3.10
Th  0.5000  0.5000  0.0000 x1  8 Pt 3.10
Pt  0.0000  0.5000  0.5000 x2  4 Gd 3.10, 4 Th 3.10

No. 8
First-principles (PBE) data for a relaxed GdThPt crystal, as listed in Alexandria.

Summary:
**Crystal system**: cubic
**Energy above the lowest structure with this stoichiometry**: 0.000 eV/atom
**N(E_F)**: 3.55 states/eV/f.u.
**Energy of formation**: -0.65 eV per atom
**Total DFT energy (no corrections)**: -9.83 eV/atom
**M_tot**: 29.1 Bohr magnetons per cell

a = 7.0326 Å, b = 7.0326 Å, c = 7.0326 Å
α = 90.00°, β = 90.00°, γ = 90.00°
Last column: nearest neighbours and their distance in Å.
Space group F-43m (No. 216)
One atom of each set of equivalent atoms:
Gd  0.0000  0.0000  0.0000 x4  4 Pt 3.05
Th  0.0000  0.0000  0.5000 x4  4 Pt 3.05
Pt  0.2500  0.2500  0.2500 x4  4 Gd 3.05, 4 Th 3.05